# 1
# PBE LaSiPdPt, relaxed
# Energy relative to the elements, uncorrected (eV per atom): -0.962
data_LaSiPdPt
_cell_length_a 4.1196
_cell_length_b 4.1196
_cell_length_c 9.7158
_cell_angle_alpha 90.00
_cell_angle_beta 90.00
_cell_angle_gamma 90.00
_symmetry_space_group_name_H-M 'P 4/n m m'
_symmetry_Int_Tables_number 129
loop_
_symmetry_equiv_pos_as_xyz
'x,y,z'
'-x,-y,-z'
'-y+1/2,x,z'
'y+1/2,-x,-z'
'-x+1/2,-y+1/2,z'
'x+1/2,y+1/2,-z'
'y,-x+1/2,z'
'-y,x+1/2,-z'
'x+1/2,-y,-z'
'-x+1/2,y,z'
'-y,-x,-z'
'y,x,z'
'-x,y+1/2,-z'
'x,-y+1/2,z'
'y+1/2,x+1/2,-z'
'-y+1/2,-x+1/2,z'
loop_
_atom_site_label
_atom_site_type_symbol
_atom_site_fract_x
_atom_site_fract_y
_atom_site_fract_z
_atom_site_occupancy
La1 La 0.2500 0.2500 0.2129 1
Si1 Si 0.2500 0.2500 0.6374 1
Pd1 Pd 0.2500 0.7500 0.5000 1
Pt1 Pt 0.2500 0.2500 0.8859 1

---

# 2
# PBE Cd4SnHg12, relaxed
# Formation energy from the elements (meV/atom): 34.2
data_Cd4SnHg12
_cell_length_a 6.6495
_cell_length_b 8.0370
_cell_length_c 8.8605
_cell_angle_alpha 75.98
_cell_angle_beta 76.85
_cell_angle_gamma 88.76
_symmetry_space_group_name_H-M 'P 1'
_symmetry_Int_Tables_number 1
_symmetry_space_group_name_Hall 'P 1'
loop_
_atom_site_label
_atom_site_type_symbol
_atom_site_fract_x
_atom_site_fract_y
_atom_site_fract_z
_atom_site_occupancy
Cd1 Cd 0.0000 0.0000 0.0000 1
Cd2 Cd 0.0474 0.2232 0.3774 1
Cd3 Cd 0.3917 0.6824 0.5966 1
Cd4 Cd 0.5731 0.4651 0.8584 1
Sn1 Sn 0.4385 0.8273 0.9050 1
Hg1 Hg 0.1283 0.5637 0.1315 1
Hg2 Hg 0.1350 0.3659 0.8009 1
Hg3 Hg 0.1636 0.8359 0.3462 1
Hg4 Hg 0.2738 0.0624 0.6257 1
Hg5 Hg 0.3796 0.1436 0.0928 1
Hg6 Hg 0.4402 0.4128 0.3937 1
Hg7 Hg 0.6576 0.7488 0.1859 1
Hg8 Hg 0.7014 0.9734 0.4223 1
Hg9 Hg 0.7361 0.1490 0.7253 1
Hg10 Hg 0.7791 0.3131 0.1268 1
Hg11 Hg 0.8496 0.5302 0.5092 1
Hg12 Hg 0.9306 0.7425 0.7787 1

---

# 3
# PBE Pm3Pr4Y8, relaxed
# Excess energy over the best structure of this formula in the dataset (eV/atom): 0.229
# Formation energy from the elements (meV/atom): 351.0
data_Pm3Pr4Y8
_cell_length_a 13.6289
_cell_length_b 12.9802
_cell_length_c 6.8409
_cell_angle_alpha 90.00
_cell_angle_beta 120.08
_cell_angle_gamma 90.00
_symmetry_space_group_name_H-M 'C 1 2/m 1'
_symmetry_Int_Tables_number 12
_symmetry_space_group_name_Hall '-C 2y'
loop_
_atom_site_label
_atom_site_type_symbol
_atom_site_fract_x
_atom_site_fract_y
_atom_site_fract_z
_atom_site_occupancy
Pm1 Pm 0.0000 0.0000 0.0000 1
Pm2 Pm 0.2500 0.2500 0.5000 1
Pr1 Pr 0.0000 0.5000 0.0000 1
Pr2 Pr 0.0000 0.5000 0.5000 1
Pr3 Pr 0.2500 0.2500 0.0000 1
Y1 Y 0.0000 0.1413 0.5000 1
Y2 Y 0.0000 0.2440 0.0000 1
Y3 Y 0.2313 0.0000 0.9690 1
Y4 Y 0.2326 0.0000 0.4901 1

---

# 4
# PBE Ce3Tl2Pb, relaxed
# Formation energy from the elements (meV/atom): -292.9
data_Ce3Tl2Pb
_cell_length_a 3.5124
_cell_length_b 3.5124
_cell_length_c 14.0080
_cell_angle_alpha 90.00
_cell_angle_beta 90.00
_cell_angle_gamma 90.00
_symmetry_space_group_name_H-M 'P 4/m m m'
_symmetry_Int_Tables_number 123
_symmetry_space_group_name_Hall '-P 4 2'
loop_
_atom_site_label
_atom_site_type_symbol
_atom_site_fract_x
_atom_site_fract_y
_atom_site_fract_z
_atom_site_occupancy
Ce1 Ce 0.0000 0.0000 0.0000 1
Ce2 Ce 0.0000 0.0000 0.3316 1
Tl1 Tl 0.5000 0.5000 0.1662 1
Pb1 Pb 0.5000 0.5000 0.5000 1

---

no.,mass density (g cm⁻³)
1,9.44
2,11.05
3,5.42
4,9.96